# PBE PrAlGaPdAu, relaxed
data_PrAlGaPdAu
_chemical_formula_sum 'Pr2 Al2 Ga2 Pd2 Au2'
_cell_length_a 4.4064
_cell_length_b 4.4064
_cell_length_c 10.4658
_cell_angle_alpha 90.00
_cell_angle_beta 90.00
_cell_angle_gamma 90.00
_symmetry_space_group_name_H-M 'P 4/n m m'
_symmetry_Int_Tables_number 129
loop_
_symmetry_equiv_pos_as_xyz
'x,y,z'
'-x,-y,-z'
'-y+1/2,x,z'
'y+1/2,-x,-z'
'-x+1/2,-y+1/2,z'
'x+1/2,y+1/2,-z'
'y,-x+1/2,z'
'-y,x+1/2,-z'
'x+1/2,-y,-z'
'-x+1/2,y,z'
'-y,-x,-z'
'y,x,z'
'-x,y+1/2,-z'
'x,-y+1/2,z'
'y+1/2,x+1/2,-z'
'-y+1/2,-x+1/2,z'
loop_
_atom_site_label
_atom_site_fract_x
_atom_site_fract_y
_atom_site_fract_z
Pr1 0.2500 0.2500 0.2491
Al1 0.2500 0.7500 0.0000
Ga1 0.2500 0.2500 0.6421
Pd1 0.2500 0.2500 0.8782
Au1 0.2500 0.7500 0.5000
# * energy relative to the lowest polymorph listed for this composition: 21 meV/atom

***

# PBE PuCl4, relaxed
data_PuCl4
_chemical_formula_sum 'Pu4 Cl16'
_cell_length_a 8.1435
_cell_length_b 8.5618
_cell_length_c 8.9677
_cell_angle_alpha 90.00
_cell_angle_beta 90.00
_cell_angle_gamma 90.00
_symmetry_space_group_name_H-M 'I m m m'
_symmetry_Int_Tables_number 71
_symmetry_space_group_name_Hall '-I 2 2'
loop_
_atom_site_label
_atom_site_fract_x
_atom_site_fract_y
_atom_site_fract_z
Pu1 0.2494 0.0000 0.0000
Cl1 0.0000 0.0000 0.1957
Cl2 0.0000 0.5000 0.3055
Cl3 0.2468 0.2901 0.0000
# * E: -5.970 eV per atom

***

# PBE AsOsPdO, relaxed
data_AsOsPdO
_chemical_formula_sum 'As2 Os2 Pd2 O2'
_cell_length_a 4.1184
_cell_length_b 4.1184
_cell_length_c 6.7996
_cell_angle_alpha 90.00
_cell_angle_beta 90.00
_cell_angle_gamma 90.00
_symmetry_space_group_name_H-M 'P 4/n m m'
_symmetry_Int_Tables_number 129
loop_
_symmetry_equiv_pos_as_xyz
'x,y,z'
'-x,-y,-z'
'-y+1/2,x,z'
'y+1/2,-x,-z'
'-x+1/2,-y+1/2,z'
'x+1/2,y+1/2,-z'
'y,-x+1/2,z'
'-y,x+1/2,-z'
'x+1/2,-y,-z'
'-x+1/2,y,z'
'-y,-x,-z'
'y,x,z'
'-x,y+1/2,-z'
'x,-y+1/2,z'
'y+1/2,x+1/2,-z'
'-y+1/2,-x+1/2,z'
loop_
_atom_site_label
_atom_site_fract_x
_atom_site_fract_y
_atom_site_fract_z
As1 0.2500 0.2500 0.1899
Os1 0.2500 0.7500 0.0000
Pd1 0.2500 0.2500 0.5761
O1 0.2500 0.7500 0.5000
# * energy relative to the lowest polymorph listed for this composition: 415 meV/atom

***

Q: Which formula does entry 3 have?
A: AsOsPdO